## w
The following is a DFT calculation (PBE) of a relaxed structure of KBaNi2.

abc: 7.6216 7.6216 7.6216
angles: 90.00 90.00 90.00
With the nearest neighbours (Å) after each atom.
Positions (direct):
K 0.0000 0.0000 0.0000  8 Ni 3.30
K 0.0000 0.5000 0.5000  8 Ni 3.30
K 0.5000 0.0000 0.5000  8 Ni 3.30
K 0.5000 0.5000 0.0000  8 Ni 3.30
Ba 0.0000 0.0000 0.5000  8 Ni 3.30
Ba 0.0000 0.5000 0.0000  8 Ni 3.30
Ba 0.5000 0.0000 0.0000  8 Ni 3.30
Ba 0.5000 0.5000 0.5000  8 Ni 3.30
Ni 0.2500 0.2500 0.2500  4 Ba 3.30, 4 K 3.30
Ni 0.2500 0.2500 0.7500  4 Ba 3.30, 4 K 3.30
Ni 0.2500 0.7500 0.2500  4 Ba 3.30, 4 K 3.30
Ni 0.2500 0.7500 0.7500  4 Ba 3.30, 4 K 3.30
Ni 0.7500 0.2500 0.2500  4 Ba 3.30, 4 K 3.30
Ni 0.7500 0.2500 0.7500  4 Ba 3.30, 4 K 3.30
Ni 0.7500 0.7500 0.2500  4 Ba 3.30, 4 K 3.30
Ni 0.7500 0.7500 0.7500  4 Ba 3.30, 4 K 3.30

total magnetic moment: 0.982 μB per formula unit
space-group type: No. 225

=====

## x
The following is a DFT calculation (PBE) of a relaxed structure of KBaNi2.

abc: 11.1192 4.2524 7.9438
angles: 90.00 129.96 90.00
With the nearest neighbours (Å) after each atom.
Positions (direct):
K 0.0000 0.0000 0.0000  6 Ni 3.29-3.55
K 0.5000 0.5000 0.0000  6 Ni 3.29-3.55
Ba 0.0000 0.5000 0.5000  6 Ni 3.06-3.30
Ba 0.5000 0.0000 0.5000  6 Ni 3.06-3.30
Ni 0.2442 0.0000 0.5402  2 Ni 2.25
Ni 0.2558 0.5000 0.4598  2 Ni 2.25
Ni 0.7442 0.5000 0.5402  2 Ni 2.25
Ni 0.7558 0.0000 0.4598  2 Ni 2.25

total magnetic moment: 0.501 μB per formula unit
space-group type: No. 12

=====

Relative energies, in meV/atom, with the most stable structure set to zero: w 315; x 0.

=====

## w
The following is a DFT calculation (PBE) of a relaxed structure of KBaNi2.

abc: 5.3152 5.3152 3.9148
angles: 90.00 90.00 90.00
With the nearest neighbours (Å) after each atom.
Positions (direct):
K 0.0000 0.0000 0.0000  8 Ni 3.30
Ba 0.5000 0.5000 0.0000  8 Ni 3.30
Ni 0.0000 0.5000 0.5000  4 Ba 3.30, 4 K 3.30
Ni 0.5000 0.0000 0.5000  4 Ba 3.30, 4 K 3.30

total magnetic moment: 1.035 μB per formula unit
space-group type: No. 123

=====

## x
The following is a DFT calculation (PBE) of a relaxed structure of KBaNi2.

abc: 7.1538 4.1334 9.2016
angles: 90.00 106.08 90.00
With the nearest neighbours (Å) after each atom.
Positions (direct):
K 0.0000 0.0000 0.0000  6 Ni 3.36-3.37
K 0.5000 0.5000 0.0000  6 Ni 3.36-3.37
Ba 0.1770 0.0000 0.4992  6 Ni 3.14
Ba 0.6770 0.5000 0.4992  6 Ni 3.14
Ni 0.2614 0.5000 0.2684  3 Ni 2.38-2.39
Ni 0.4280 0.0000 0.2683  3 Ni 2.38-2.39
Ni 0.7614 0.0000 0.2684  3 Ni 2.38-2.39
Ni 0.9280 0.5000 0.2683  3 Ni 2.38-2.39

total magnetic moment: 0.000 μB per formula unit
space-group type: No. 8

=====

## y
The following is a DFT calculation (PBE) of a relaxed structure of KBaNi2.

abc: 4.1930 4.6146 13.4804
angles: 90.00 90.00 90.00
With the nearest neighbours (Å) after each atom.
Positions (direct):
K 0.0000 0.0000 0.0000  6 Ni 3.27-3.46
K 0.5000 0.5000 0.5000  6 Ni 3.27-3.46
Ba 0.0000 0.5000 0.2453  6 Ni 3.01-3.31
Ba 0.5000 0.0000 0.7453  6 Ni 3.01-3.31
Ni 0.0000 0.0000 0.3886  2 Ni 2.25
Ni 0.0000 0.5000 0.8282  2 Ni 2.25
Ni 0.5000 0.0000 0.3282  2 Ni 2.25
Ni 0.5000 0.5000 0.8886  2 Ni 2.25

total magnetic moment: 0.155 μB per formula unit
space-group type: No. 44

=====

## z
The following is a DFT calculation (PBE) of a relaxed structure of KBaNi2.

abc: 4.1433 4.1433 7.3808
angles: 90.00 90.00 90.00
With the nearest neighbours (Å) after each atom.
Positions (direct):
K 0.0000 0.0000 0.0000  2 Ba 3.69, 8 Ni 3.87
Ba 0.0000 0.0000 0.5000  8 Ni 3.15
Ni 0.5000 0.5000 0.3433  1 Ni 2.31
Ni 0.5000 0.5000 0.6567  1 Ni 2.31

total magnetic moment: 0.685 μB per formula unit
space-group type: No. 123

=====

Relative energies, in meV/atom, with the most stable structure set to zero: w 467; x 0; y 132; z 331.

=====

## w
The following is a DFT calculation (PBE) of a relaxed structure of KBaNi2.

abc: 5.1556 5.1556 7.3414
angles: 90.00 90.00 90.00
With the nearest neighbours (Å) after each atom.
Positions (direct):
K 0.0000 0.0000 0.0000  4 Ba 3.16, 4 Ni 3.16
K 0.5000 0.5000 0.5000  4 Ba 3.16, 4 Ni 3.16
Ba 0.0000 0.5000 0.2500  4 K 3.16, 4 Ni 3.16
Ba 0.5000 0.0000 0.7500  4 K 3.16, 4 Ni 3.16
Ni 0.0000 0.0000 0.5000  4 Ba 3.16, 4 Ni 3.16
Ni 0.0000 0.5000 0.7500  4 K 3.16, 4 Ni 3.16
Ni 0.5000 0.0000 0.2500  4 K 3.16, 4 Ni 3.16
Ni 0.5000 0.5000 0.0000  4 Ba 3.16, 4 Ni 3.16

total magnetic moment: 0.587 μB per formula unit
space-group type: No. 119

=====

## x
The following is a DFT calculation (PBE) of a relaxed structure of KBaNi2.

abc: 3.4601 3.4601 9.4094
angles: 90.00 90.00 90.00
With the nearest neighbours (Å) after each atom.
Positions (direct):
K 0.0000 0.0000 0.0000  1 Ni 3.01
Ba 0.5000 0.5000 0.5587  1 Ni 2.73
Ni 0.0000 0.0000 0.3204  4 Ni 2.49
Ni 0.5000 0.5000 0.2688  4 Ni 2.49, 1 Ba 2.73

total magnetic moment: 0.592 μB per formula unit
space-group type: No. 99

=====

Relative energies, in meV/atom, with the most stable structure set to zero: w 273; x 0.

=====

## w
The following is a DFT calculation (PBE) of a relaxed structure of KBaO.

abc: 4.2392 18.7623 5.4880
angles: 90.00 90.00 90.00
With the nearest neighbours (Å) after each atom.
Positions (direct):
K 0.0000 0.0830 0.2500  2 O 3.31
K 0.0000 0.9170 0.7500  2 O 3.31
K 0.5000 0.4170 0.7500  2 O 3.31
K 0.5000 0.5830 0.2500  2 O 3.31
Ba 0.0000 0.2970 0.2500  4 O 2.58-2.76
Ba 0.0000 0.7030 0.7500  4 O 2.58-2.76
Ba 0.5000 0.2030 0.7500  4 O 2.58-2.76
Ba 0.5000 0.7970 0.2500  4 O 2.58-2.76
O 0.0000 0.2815 0.7500  4 Ba 2.58-2.76
O 0.0000 0.7185 0.2500  4 Ba 2.58-2.76
O 0.5000 0.2185 0.2500  4 Ba 2.58-2.76
O 0.5000 0.7815 0.7500  4 Ba 2.58-2.76

total magnetic moment: 0.000 μB per formula unit
space-group type: No. 63

=====

## x
The following is a DFT calculation (PBE) of a relaxed structure of KBaO.

abc: 4.0833 4.0833 7.3928
angles: 90.00 90.00 120.00
With the nearest neighbours (Å) after each atom.
Positions (direct):
K 0.0000 0.0000 0.0000  3 O 3.10
Ba 0.6667 0.3333 0.5887  3 O 2.57
O 0.3333 0.6667 0.7287  3 Ba 2.57

total magnetic moment: 0.000 μB per formula unit
space-group type: No. 156

=====

Relative energies, in meV/atom, with the most stable structure set to zero: w 0; x 9.

=====

## w
The following is a DFT calculation (PBE) of a relaxed structure of K4BaU3O12.

abc: 7.7145 7.7145 7.7145
angles: 109.47 109.47 109.47
With the nearest neighbours (Å) after each atom.
Positions (direct):
K 0.0000 0.0000 0.5000  12 O 3.15-3.16
K 0.0000 0.5000 0.0000  12 O 3.15-3.16
K 0.5000 0.0000 0.0000  12 O 3.15-3.16
K 0.5000 0.5000 0.5000  12 O 3.15-3.16
Ba 0.0000 0.0000 0.0000  6 O 2.53
U 0.0000 0.5000 0.5000  2 O 1.92
U 0.5000 0.0000 0.5000  2 O 1.92
U 0.5000 0.5000 0.0000  2 O 1.92
O 0.0000 0.2841 0.2841  1 U 1.92
O 0.0000 0.7159 0.7159  1 U 1.92
O 0.2500 0.5000 0.7500  2 U 2.23
O 0.2500 0.7500 0.5000  2 U 2.23
O 0.2841 0.0000 0.2841  1 U 1.92
O 0.2841 0.2841 0.0000  1 U 1.92
O 0.5000 0.2500 0.7500  2 U 2.23
O 0.5000 0.7500 0.2500  2 U 2.23
O 0.7159 0.0000 0.7159  1 U 1.92
O 0.7159 0.7159 0.0000  1 U 1.92
O 0.7500 0.2500 0.5000  2 U 2.23
O 0.7500 0.5000 0.2500  2 U 2.23

total magnetic moment: 0.000 μB per formula unit
space-group type: No. 229

=====

## x
The following is a DFT calculation (PBE) of a relaxed structure of K4BaU3O12.

abc: 7.6049 7.6049 7.6049
angles: 108.68 108.68 108.68
With the nearest neighbours (Å) after each atom.
Positions (direct):
K 0.0000 0.0000 0.0000  6 O 2.54
K 0.0000 0.0000 0.5000  12 O 3.08-3.40
K 0.0000 0.5000 0.0000  12 O 3.08-3.40
K 0.5000 0.0000 0.0000  12 O 3.08-3.40
Ba 0.5000 0.5000 0.5000  12 O 2.99-3.10
U 0.0000 0.5000 0.5000  2 O 1.91
U 0.5000 0.0000 0.5000  2 O 1.91
U 0.5000 0.5000 0.0000  2 O 1.91
O 0.0310 0.2999 0.2999  1 U 1.91
O 0.2494 0.5000 0.7506  2 U 2.22
O 0.2494 0.7506 0.5000  2 U 2.22
O 0.2999 0.0310 0.2999  1 U 1.91
O 0.2999 0.2999 0.0310  1 U 1.91
O 0.5000 0.2494 0.7506  2 U 2.22
O 0.5000 0.7506 0.2494  2 U 2.22
O 0.7001 0.7001 0.9690  1 U 1.91
O 0.7001 0.9690 0.7001  1 U 1.91
O 0.7506 0.2494 0.5000  2 U 2.22
O 0.7506 0.5000 0.2494  2 U 2.22
O 0.9690 0.7001 0.7001  1 U 1.91

total magnetic moment: 0.000 μB per formula unit
space-group type: No. 166

=====

Relative energies, in meV/atom, with the most stable structure set to zero: w 23; x 0.

=====

## w
The following is a DFT calculation (PBE) of a relaxed structure of K2BaOs.

abc: 4.8484 4.8484 6.1876
angles: 90.00 90.00 90.00
With the nearest neighbours (Å) after each atom.
Positions (direct):
K 0.0000 0.5000 0.0000  4 K 3.43
K 0.5000 0.0000 0.0000  4 K 3.43
Ba 0.0000 0.0000 0.5000  4 Os 3.43
Os 0.5000 0.5000 0.5000  4 Ba 3.43

total magnetic moment: 1.669 μB per formula unit
space-group type: No. 123

=====

## x
The following is a DFT calculation (PBE) of a relaxed structure of K2BaOs.

abc: 8.1663 8.1663 8.1663
angles: 90.00 90.00 90.00
With the nearest neighbours (Å) after each atom.
Positions (direct):
K 0.2500 0.2500 0.2500  4 Os 3.54, 4 Ba 3.54
K 0.2500 0.2500 0.7500  4 Ba 3.54, 4 Os 3.54
K 0.2500 0.7500 0.2500  4 Ba 3.54, 4 Os 3.54
K 0.2500 0.7500 0.7500  4 Os 3.54, 4 Ba 3.54
K 0.7500 0.2500 0.2500  4 Ba 3.54, 4 Os 3.54
K 0.7500 0.2500 0.7500  4 Os 3.54, 4 Ba 3.54
K 0.7500 0.7500 0.2500  4 Os 3.54, 4 Ba 3.54
K 0.7500 0.7500 0.7500  4 Ba 3.54, 4 Os 3.54
Ba 0.0000 0.0000 0.0000  8 K 3.54
Ba 0.0000 0.5000 0.5000  8 K 3.54
Ba 0.5000 0.0000 0.5000  8 K 3.54
Ba 0.5000 0.5000 0.0000  8 K 3.54
Os 0.0000 0.0000 0.5000  8 K 3.54
Os 0.0000 0.5000 0.0000  8 K 3.54
Os 0.5000 0.0000 0.0000  8 K 3.54
Os 0.5000 0.5000 0.5000  8 K 3.54

total magnetic moment: 1.143 μB per formula unit
space-group type: No. 225

=====

Relative energies, in meV/atom, with the most stable structure set to zero: w 0; x 189.